First-principles (GGA-PBE) data for a relaxed TmTlSb2 crystal, as listed in the Alexandria database.

Formation energy (no corrections) = -287 meV/atom
Energy above the lowest structure with this stoichiometry = 144 meV per atom
Calculated volume = 125.8 Å³/cell
D(E_F) = 2.59 states/eV per cell
Spin magnetization = 0.00 μB per formula unit
SG = No. 166

a b c (Å): 4.283 4.283 8.294
angles (deg): 75.04 75.04 60.00
Fractional positions:
Sb 0.743 0.743 0.772
Sb 0.257 0.257 0.228
Tm 0.000 0.000 0.000
Tl 0.500 0.500 0.500